1.
DFT (GGA-PBE) results for a relaxed structure of La2Sb2S7.

Calculated values
E_tot in Ha/atom: -0.189
DOS(E_F) in states/eV/f.u.: 4.08
Uncorrected formation energy in eV/atom: -0.86

abc: 8.8888 8.8888 8.8888
angles: 154.13 68.89 117.41
Positions (direct):
La (0.0000, 0.0000, 0.0000)
La (0.5351, 0.0351, 0.5000)
Sb (0.4135, 0.1554, 0.2582)
Sb (0.8972, 0.1554, 0.7418)
S (0.1900, 0.5506, 0.6394)
S (0.2314, 0.9088, 0.3226)
S (0.3164, 0.3164, 0.0000)
S (0.5862, 0.9088, 0.6774)
S (0.6046, 0.7144, 0.8902)
S (0.8242, 0.7144, 0.1098)
S (0.9112, 0.5506, 0.3606)

---

2.
DFT (GGA-PBE) results for a relaxed structure of NiHgTe2.

Calculated values
E_tot in Ha/atom: -0.097
DOS(E_F) in states/eV/f.u.: 3.43
Uncorrected formation energy in eV/atom: 0.46

abc: 5.0242 5.0242 3.9541
angles: 90.00 90.00 108.03
Positions (direct):
Ni (0.0000, 0.0000, 0.0000)
Hg (0.5000, 0.5000, 0.0000)
Te (0.0000, 0.5000, 0.5000)
Te (0.5000, 0.0000, 0.5000)

---

3.
DFT (GGA-PBE) results for a relaxed structure of Er3PuSc2S6.

Calculated values
E_tot in Ha/atom: -0.271
DOS(E_F) in states/eV/f.u.: 6.78
Uncorrected formation energy in eV/atom: -1.91

abc: 8.5430 8.5430 7.6761
angles: 102.84 102.84 25.77
Positions (direct):
Er (0.0000, 0.0000, 0.0000)
Er (0.3358, 0.3358, 0.6663)
Er (0.6642, 0.6642, 0.3337)
Pu (0.0000, 0.0000, 0.5000)
Sc (0.3367, 0.3367, 0.1742)
Sc (0.6633, 0.6633, 0.8258)
S (0.1699, 0.1699, 0.5924)
S (0.1707, 0.1707, 0.0760)
S (0.4969, 0.4969, 0.2436)
S (0.5031, 0.5031, 0.7564)
S (0.8293, 0.8293, 0.9240)
S (0.8301, 0.8301, 0.4076)